No. 1
# Li2PuAu4

An optimized crystal structure of Li2PuAu4 (GGA-PBE, Alexandria).

The structure in CIF format:
```
data_Li2PuAu4
_chemical_formula_sum 'Li4 Pu2 Au8'
_space_group_name_H-M_alt 'I m m m'
_space_group_IT_number 71
_space_group_name_Hall '-I 2 2'
_cell_length_a 2.939
_cell_length_b 4.803
_cell_length_c 18.732
_cell_angle_alpha 90.00
_cell_angle_beta 90.00
_cell_angle_gamma 90.00
loop_
_atom_site_label
_atom_site_type_symbol
_atom_site_fract_x
_atom_site_fract_y
_atom_site_fract_z
Li1 Li 0.000 0.000 0.198
Pu1 Pu 0.000 0.500 0.000
Au1 Au 0.000 0.000 0.339
Au2 Au 0.000 0.500 0.423
```

Values from the calculation:
The final energy comes out at -4.909 eV/atom. The energy of formation from the pure elements is -442 meV per atom.

No. 2
# LiNdDyHg

An optimized crystal structure of LiNdDyHg (GGA-PBE, Alexandria).

The structure in CIF format:
```
data_LiNdDyHg
_chemical_formula_sum 'Li4 Nd4 Dy4 Hg4'
_space_group_name_H-M_alt 'F -4 3 m'
_space_group_IT_number 216
_space_group_name_Hall 'F -4 2 3'
_cell_length_a 7.507
_cell_length_b 7.507
_cell_length_c 7.507
_cell_angle_alpha 90.00
_cell_angle_beta 90.00
_cell_angle_gamma 90.00
loop_
_atom_site_label
_atom_site_type_symbol
_atom_site_fract_x
_atom_site_fract_y
_atom_site_fract_z
Li1 Li 0.000 0.000 0.000
Nd1 Nd 0.250 0.250 0.750
Dy1 Dy 0.250 0.250 0.250
Hg1 Hg 0.000 0.000 0.500
```

Values from the calculation:
The final energy comes out at -3.099 eV/atom. The energy of formation from the pure elements is -202 meV per atom.

No. 3
# TmMn2GeC

An optimized crystal structure of TmMn2GeC (GGA-PBE, Alexandria).

The structure in CIF format:
```
data_TmMn2GeC
_chemical_formula_sum 'Tm4 Mn8 Ge4 C4'
_space_group_name_H-M_alt 'C m c m'
_space_group_IT_number 63
_space_group_name_Hall '-C 2c 2'
_cell_length_a 3.687
_cell_length_b 10.702
_cell_length_c 7.123
_cell_angle_alpha 90.00
_cell_angle_beta 90.00
_cell_angle_gamma 90.00
loop_
_atom_site_label
_atom_site_type_symbol
_atom_site_fract_x
_atom_site_fract_y
_atom_site_fract_z
Tm1 Tm 0.000 0.039 0.250
Mn1 Mn 0.000 0.335 0.060
Ge1 Ge 0.000 0.239 0.750
C1 C 0.000 0.500 0.000
```

Values from the calculation:
The final energy comes out at -7.741 eV/atom. The energy of formation from the pure elements is -410 meV per atom.

No. 4
# CuSeCl2

An optimized crystal structure of CuSeCl2 (GGA-PBE, Alexandria).

The structure in CIF format:
```
data_CuSeCl2
_chemical_formula_sum 'Cu1 Se1 Cl2'
_space_group_name_H-M_alt 'P 1 m 1'
_space_group_IT_number 6
_cell_length_a 3.970
_cell_length_b 3.504
_cell_length_c 7.661
_cell_angle_alpha 90.00
_cell_angle_beta 94.92
_cell_angle_gamma 90.00
loop_
_space_group_symop_operation_xyz
'x,y,z'
'x,-y,z'
loop_
_atom_site_label
_atom_site_type_symbol
_atom_site_fract_x
_atom_site_fract_y
_atom_site_fract_z
Cu1 Cu 0.000 0.000 0.000
Se1 Se 0.784 0.500 0.164
Cl1 Cl 0.063 0.500 0.423
Cl2 Cl 0.424 0.000 0.830
```

Values from the calculation:
The final energy comes out at -3.069 eV/atom. Its uncorrected formation energy is -250.9 meV/atom. For the energy above the most stable polymorph in this dataset, the calculation gives 46 meV/atom.

No. 5
# CsRbUO4

An optimized crystal structure of CsRbUO4 (GGA-PBE, Alexandria).

The structure in CIF format:
```
data_CsRbUO4
_chemical_formula_sum 'Cs2 Rb2 U2 O8'
_space_group_name_H-M_alt 'I 4 m m'
_space_group_IT_number 107
_space_group_name_Hall 'I 4 -2'
_cell_length_a 4.405
_cell_length_b 4.405
_cell_length_c 14.857
_cell_angle_alpha 90.00
_cell_angle_beta 90.00
_cell_angle_gamma 90.00
loop_
_atom_site_label
_atom_site_type_symbol
_atom_site_fract_x
_atom_site_fract_y
_atom_site_fract_z
Cs1 Cs 0.000 0.000 0.000
Rb1 Rb 0.000 0.000 0.694
U1 U 0.000 0.000 0.340
O1 O 0.000 0.000 0.208
O2 O 0.000 0.000 0.471
O3 O 0.000 0.500 0.339
```

Values from the calculation:
The final energy comes out at -7.342 eV/atom. Its uncorrected formation energy is -2636.1 meV/atom.

No. 6
# MgBi3

An optimized crystal structure of MgBi3 (GGA-PBE, Alexandria).

The structure in CIF format:
```
data_MgBi3
_chemical_formula_sum 'Mg2 Bi6'
_space_group_name_H-M_alt 'I 4/m m m'
_space_group_IT_number 139
_space_group_name_Hall '-I 4 2'
_cell_length_a 5.065
_cell_length_b 5.065
_cell_length_c 9.363
_cell_angle_alpha 90.00
_cell_angle_beta 90.00
_cell_angle_gamma 90.00
loop_
_atom_site_label
_atom_site_type_symbol
_atom_site_fract_x
_atom_site_fract_y
_atom_site_fract_z
Mg1 Mg 0.000 0.000 0.000
Bi1 Bi 0.000 0.000 0.500
Bi2 Bi 0.000 0.500 0.250
```

Values from the calculation:
The final energy comes out at -3.272 eV/atom. The energy of formation from the pure elements is 37 meV per atom.

No. 7
# SmHoMgHg

An optimized crystal structure of SmHoMgHg (GGA-PBE, Alexandria).

The structure in CIF format:
```
data_SmHoMgHg
_chemical_formula_sum 'Sm4 Ho4 Mg4 Hg4'
_space_group_name_H-M_alt 'F -4 3 m'
_space_group_IT_number 216
_space_group_name_Hall 'F -4 2 3'
_cell_length_a 7.547
_cell_length_b 7.547
_cell_length_c 7.547
_cell_angle_alpha 90.00
_cell_angle_beta 90.00
_cell_angle_gamma 90.00
loop_
_atom_site_label
_atom_site_type_symbol
_atom_site_fract_x
_atom_site_fract_y
_atom_site_fract_z
Sm1 Sm 0.000 0.000 0.000
Ho1 Ho 0.000 0.000 0.500
Mg1 Mg 0.250 0.250 0.750
Hg1 Hg 0.250 0.250 0.250
```

Values from the calculation:
The final energy comes out at -3.058 eV/atom. The energy of formation from the pure elements is -260 meV per atom. For the energy above the most stable polymorph in this dataset, the calculation gives 19 meV/atom.

No. 8
# MgCoNi2

An optimized crystal structure of MgCoNi2 (GGA-PBE, Alexandria).

The structure in CIF format:
```
data_MgCoNi2
_chemical_formula_sum 'Mg2 Co2 Ni4'
_space_group_name_H-M_alt 'I -4 m 2'
_space_group_IT_number 119
_space_group_name_Hall 'I -4 -2'
_cell_length_a 3.654
_cell_length_b 3.654
_cell_length_c 7.331
_cell_angle_alpha 90.00
_cell_angle_beta 90.00
_cell_angle_gamma 90.00
loop_
_atom_site_label
_atom_site_type_symbol
_atom_site_fract_x
_atom_site_fract_y
_atom_site_fract_z
Mg1 Mg 0.000 0.000 0.000
Co1 Co 0.000 0.500 0.250
Ni1 Ni 0.000 0.000 0.500
Ni2 Ni 0.000 0.500 0.750
```

Values from the calculation:
The final energy comes out at -5.024 eV/atom. The energy of formation from the pure elements is 42 meV per atom.

No. 9
# GaHRh4

An optimized crystal structure of GaHRh4 (GGA-PBE, Alexandria).

The structure in CIF format:
```
data_GaHRh4
_chemical_formula_sum 'Ga2 H2 Rh8'
_space_group_name_H-M_alt 'P -1'
_space_group_IT_number 2
_cell_length_a 4.709
_cell_length_b 4.779
_cell_length_c 7.096
_cell_angle_alpha 70.50
_cell_angle_beta 88.87
_cell_angle_gamma 89.99
loop_
_space_group_symop_operation_xyz
'x,y,z'
'-x,-y,-z'
loop_
_atom_site_label
_atom_site_type_symbol
_atom_site_fract_x
_atom_site_fract_y
_atom_site_fract_z
Ga1 Ga 0.250 0.178 0.000
H1 H 0.000 0.500 0.500
H2 H 0.500 0.000 0.500
Rh1 Rh 0.203 0.963 0.380
Rh2 Rh 0.205 0.560 0.199
Rh3 Rh 0.294 0.761 0.801
Rh4 Rh 0.297 0.344 0.619
```

Values from the calculation:
The final energy comes out at -6.052 eV/atom. For the energy above the most stable polymorph in this dataset, the calculation gives 0 meV/atom.

No. 10
# UPdPbSe3

An optimized crystal structure of UPdPbSe3 (GGA-PBE, Alexandria).

The structure in CIF format:
```
data_UPdPbSe3
_chemical_formula_sum 'U2 Pd2 Pb2 Se6'
_space_group_name_H-M_alt 'P 1 21/m 1'
_space_group_IT_number 11
_cell_length_a 8.011
_cell_length_b 4.105
_cell_length_c 9.960
_cell_angle_alpha 90.00
_cell_angle_beta 104.17
_cell_angle_gamma 90.00
loop_
_space_group_symop_operation_xyz
'x,y,z'
'-x,-y,-z'
'-x,y+1/2,-z'
'x,-y+1/2,z'
loop_
_atom_site_label
_atom_site_type_symbol
_atom_site_fract_x
_atom_site_fract_y
_atom_site_fract_z
U1 U 0.176 0.250 0.157
Pd1 Pd 0.439 0.750 0.391
Pb1 Pb 0.316 0.750 0.675
Se1 Se 0.076 0.250 0.859
Se2 Se 0.232 0.250 0.444
Se3 Se 0.412 0.750 0.131
```

Values from the calculation:
The final energy comes out at -5.875 eV/atom. Its uncorrected formation energy is -767.8 meV/atom.